Entry 1:
{"formula": "MgMnBe", "functional": "GGA-PBE", "state": "optimized geometry", "polymorph_energy_kj_per_mol_atoms": 0.0, "delta_e_f_mev_per_atom": 184.2, "lattice_angstrom": [[2.814, 0.000, 0.000], [0.000, 2.814, 0.000], [0.000, 0.000, 10.086]], "species": ["Mg", "Mg", "Mn", "Mn", "Be", "Be"], "fractional_positions": [[0.000, 0.000, 0.000], [0.500, 0.500, 0.500], [0.000, 0.000, 0.699], [0.500, 0.500, 0.199], [0.000, 0.000, 0.317], [0.500, 0.500, 0.817]]}

***

Entry 2:
{"formula": "Mg3MnBe", "functional": "GGA-PBE", "state": "optimized geometry", "polymorph_energy_kj_per_mol_atoms": 0.0, "delta_e_f_mev_per_atom": 1000.4, "lattice_angstrom": [[4.603, 0.000, 0.000], [0.000, 4.603, 0.000], [0.000, 0.000, 4.603]], "species": ["Mg", "Mg", "Mg", "Mn", "Be"], "fractional_positions": [[0.000, 0.000, 0.500], [0.000, 0.500, 0.000], [0.500, 0.000, 0.000], [0.500, 0.500, 0.500], [0.000, 0.000, 0.000]]}

***

Entry 3:
{"formula": "Mg2MnBe", "functional": "GGA-PBE", "state": "optimized geometry", "delta_e_f_mev_per_atom": 836.9, "lattice_angstrom": [[6.892, 0.000, 0.000], [0.000, 6.892, 0.000], [0.000, 0.000, 5.085]], "species": ["Mg", "Mg", "Mg", "Mg", "Mg", "Mg", "Mg", "Mg", "Mn", "Mn", "Mn", "Mn", "Be", "Be", "Be", "Be"], "fractional_positions": [[0.226, 0.250, 0.125], [0.250, 0.726, 0.375], [0.250, 0.774, 0.875], [0.274, 0.250, 0.625], [0.726, 0.750, 0.625], [0.750, 0.226, 0.875], [0.750, 0.274, 0.375], [0.774, 0.750, 0.125], [0.000, 0.000, 0.500], [0.000, 0.500, 0.750], [0.500, 0.000, 0.250], [0.500, 0.500, 0.000], [0.000, 0.000, 0.000], [0.000, 0.500, 0.250], [0.500, 0.000, 0.750], [0.500, 0.500, 0.500]]}